A relaxed LiMnSiO4 crystal. Source: Alexandria via LeMat-Bulk, functional PBE+U.

Results
total magnetization: 4.00 μB/f.u.
E above lowest polymorph: 68 meV/atom
V: 133 Å³ per cell
crystal system: orthorhombic
energy: -7.119 eV per atom
symmetry: Imma (74)

Cell lengths 5.6803, 5.6803, 5.6803 Å; angles 86.53, 63.65, 119.71 degrees
With the nearest neighbours (Å) after each atom.
Fractional positions:
Li (0.0000, 0.5000, 0.0000)  6 O 2.01-2.15
Li (0.5000, 0.0000, 0.0000)  6 O 2.01-2.15
Mn (0.0000, 0.5000, 0.5000)  6 O 1.93-2.12
Mn (0.5000, 0.5000, 0.0000)  6 O 1.93-2.12
Si (0.2500, 0.1340, 0.6160)  4 O 1.67
Si (0.7500, 0.8660, 0.3840)  4 O 1.67
O (0.4873, 0.2447, 0.7426)  1 Si 1.67
O (0.9873, 0.2298, 0.2574)  1 Si 1.67
O (0.0127, 0.7702, 0.7426)  1 Si 1.67
O (0.5127, 0.7553, 0.2574)  1 Si 1.67
O (0.4818, 0.2531, 0.2651)  1 Si 1.67
O (0.0182, 0.2531, 0.7287)  1 Si 1.67
O (0.9818, 0.7469, 0.2713)  1 Si 1.67
O (0.5182, 0.7469, 0.7349)  1 Si 1.67